Record 1
VASP calculation (GGA-PBE) on Co2TcTe after structural relaxation.

Structure (POSCAR):
```
Co2TcTe
1.0
3.8305 0.0000 0.0000
0.0000 3.8318 0.0000
0.0000 0.0000 3.7788
Tc Te Co
1 1 2
Direct
0.5000 0.0000 0.5000
0.0000 0.5000 0.5000
0.0000 0.0000 0.0000
0.5000 0.5000 0.0000
```

Summary:
DOS at the Fermi energy = 5.16 states/eV/cell
formation energy from raw total energies = 136 kJ/mol of formula units
space group = P4/mmm, No. 123
density = 10.28 g/cm³
crystal system = tetragonal



Record 2
VASP calculation (GGA-PBE) on TcTeAsBr2 after structural relaxation.

Structure (POSCAR):
```
TcTeAsBr2
1.0
5.0276 0.0000 0.0000
0.0000 5.0276 0.0000
0.0000 0.0000 4.9609
Br As Te Tc
2 1 1 1
Direct
0.0000 0.5000 0.0000
0.5000 0.0000 0.0000
0.0000 0.0000 0.5000
0.5000 0.5000 0.5000
0.0000 0.0000 0.0000
```

Summary:
DOS at the Fermi energy = 4.33 states/eV/cell
formation energy from raw total energies = 208 kJ/mol of formula units
space group = P4/mmm, No. 123
density = 6.10 g/cm³
E above lowest polymorph = 0 meV/atom
crystal system = tetragonal



Record 3
VASP calculation (GGA-PBE) on La2GaNiH after structural relaxation.

Structure (POSCAR):
```
La2GaNiH
1.0
-1.5976 -1.0430 -4.9008
2.8682 -4.4082 0.0031
-2.8481 -1.8522 1.3227
H Ni Ga La
1 1 1 2
Direct
0.0000 0.0000 0.0000
0.0000 0.0000 0.5000
0.5000 0.5000 0.5000
0.5000 0.0000 0.0000
0.0000 0.5000 0.0000
```

Summary:
DOS at the Fermi energy = 4.93 states/eV/cell
space group = P4/mmm, No. 123
density = 6.71 g/cm³
E above lowest polymorph = 93 meV/atom
crystal system = tetragonal